(1)
Crystalline Sr2OsAu at its relaxed geometry. Source: the Alexandria database, functional GGA-PBEsol.

Cell: 5.649 5.649 5.649 Å, 133.82 133.82 67.38°
Atoms (fractional coordinates):
Sr  0.000  0.000  0.000
Sr  0.750  0.250  0.500
Os  0.250  0.750  0.500
Au  0.500  0.500  0.000

Values from the calculation:
- symmetry = I-4m2
- magnetic moment (μB per cell) = 0.5
- energy (eV per cell) = -17.9
- formation enthalpy at 0 K (kJ/mol of formula units) = 185

=====

(2)
Crystalline Sr2OsAu at its relaxed geometry. Source: the Alexandria database, functional GGA-PBEsol.

Cell: 3.459 3.459 7.987 Å, 90.00 90.00 90.00°
Atoms (fractional coordinates):
Sr  0.000  0.000  0.233
Sr  0.000  0.000  0.767
Os  0.500  0.500  0.000
Au  0.500  0.500  0.500

Values from the calculation:
- symmetry = P4/mmm
- magnetic moment (μB per cell) = 0.0
- energy (eV per cell) = -18.7
- formation enthalpy at 0 K (kJ/mol of formula units) = 108

=====

(3)
Crystalline SrOs2Au at its relaxed geometry. Source: the Alexandria database, functional GGA-PBEsol.

Cell: 5.891 5.891 5.081 Å, 114.18 114.18 28.18°
Atoms (fractional coordinates):
Sr  0.000  0.000  0.000
Os  0.223  0.223  0.672
Os  0.777  0.777  0.328
Au  0.500  0.500  0.500

Values from the calculation:
- symmetry = C2/m
- magnetic moment (μB per cell) = 0.0
- energy (eV per cell) = -27.3
- formation enthalpy at 0 K (kJ/mol of formula units) = 277

=====

(4)
Crystalline SrOs2Au at its relaxed geometry. Source: the Alexandria database, functional GGA-PBEsol.

Cell: 3.959 3.959 4.561 Å, 90.00 90.00 90.00°
Atoms (fractional coordinates):
Sr  0.000  0.000  0.000
Os  0.000  0.500  0.500
Os  0.500  0.000  0.500
Au  0.500  0.500  0.000

Values from the calculation:
- symmetry = P4/mmm
- magnetic moment (μB per cell) = 0.0
- energy (eV per cell) = -26.4
- formation enthalpy at 0 K (kJ/mol of formula units) = 363

=====

(5)
Crystalline TaOs2Au at its relaxed geometry. Source: the Alexandria database, functional GGA-PBEsol.

Cell: 4.881 4.881 4.881 Å, 133.08 133.08 68.52°
Atoms (fractional coordinates):
Ta  0.000  0.000  0.000
Os  0.500  0.500  0.000
Os  0.750  0.250  0.500
Au  0.250  0.750  0.500

Values from the calculation:
- symmetry = I-4m2
- magnetic moment (μB per cell) = 0.0
- energy (eV per cell) = -40.6
- formation enthalpy at 0 K (kJ/mol of formula units) = 27

=====

(6)
Crystalline TaOs2Au at its relaxed geometry. Source: the Alexandria database, functional GGA-PBEsol.

Cell: 3.269 3.269 5.830 Å, 90.00 90.00 90.00°
Atoms (fractional coordinates):
Ta  0.000  0.000  0.000
Os  0.500  0.500  0.245
Os  0.500  0.500  0.755
Au  0.000  0.000  0.500

Values from the calculation:
- symmetry = P4/mmm
- magnetic moment (μB per cell) = 0.0
- energy (eV per cell) = -40.1
- formation enthalpy at 0 K (kJ/mol of formula units) = 78

=====

(7)
Crystalline Tc2OsAu at its relaxed geometry. Source: the Alexandria database, functional GGA-PBEsol.

Cell: 4.790 4.790 4.790 Å, 132.93 132.93 68.77°
Atoms (fractional coordinates):
Tc  0.250  0.750  0.500
Tc  0.750  0.250  0.500
Os  0.000  0.000  0.000
Au  0.500  0.500  0.000

Values from the calculation:
- symmetry = I4/mmm
- magnetic moment (μB per cell) = 0.0
- energy (eV per cell) = -37.4
- formation enthalpy at 0 K (kJ/mol of formula units) = 121

=====

(8)
Crystalline TcOsAu2 at its relaxed geometry. Source: the Alexandria database, functional GGA-PBEsol.

Cell: 2.807 2.807 7.916 Å, 90.00 90.00 90.00°
Atoms (fractional coordinates):
Tc  0.000  0.000  0.000
Os  0.500  0.500  0.801
Au  0.000  0.000  0.535
Au  0.500  0.500  0.263

Values from the calculation:
- symmetry = P4mm
- magnetic moment (μB per cell) = 0.0
- energy (eV per cell) = -30.7
- formation enthalpy at 0 K (kJ/mol of formula units) = 61

=====

- What is the formula in the first record?
  Sr2OsAu